First-principles (PBE) data for a relaxed structure of Hg2HPdPb, as listed in the Alexandria database.

a = 5.279 Å, b = 5.279 Å, c = 3.516 Å
α = 90.00°, β = 90.00°, γ = 90.00°
Fractional coordinates of all 5 atoms:
1 Pd 0.000 0.000 0.500
2 Hg 0.000 0.500 0.000
3 Pb 0.500 0.500 0.500
4 H 0.000 0.000 0.000
5 Hg 0.500 0.000 0.000

Computed properties:
distance to the lowest polymorph of the same formula = 45.2 meV per atom

***

First-principles (PBE) data for a relaxed structure of HgH3Pd6Pb2, as listed in the Alexandria database.

a = 4.053 Å, b = 4.053 Å, c = 11.599 Å
α = 90.00°, β = 90.00°, γ = 90.00°
Fractional coordinates of all 12 atoms:
1 Pd 0.000 0.000 0.853
2 Pd 0.000 0.000 0.147
3 H 0.000 0.000 0.325
4 Pd 0.500 0.000 0.674
5 Hg 0.500 0.500 0.500
6 Pb 0.500 0.500 0.142
7 Pd 0.000 0.500 0.326
8 H 0.000 0.000 0.675
9 Pb 0.500 0.500 0.858
10 Pd 0.500 0.000 0.326
11 Pd 0.000 0.500 0.674
12 H 0.000 0.000 0.000

Computed properties:
total energy = -4.2264 eV per atom

***

Which formula does entry 2 have?
HgH3Pd6Pb2